# 1
This record from Alexandria describes an optimized crystal structure of CoSi2Tc. The functional is GGA-PBE.

Computed properties:
energy relative to the elements, uncorrected: -1.2 eV/f.u.
uncorrected energy: -29.47 eV per formula unit
total magnetic moment: 0.39 μB/f.u.
N(E_F): 3.3 states/eV/f.u.

Geometry as CIF:
```
data_CoSi2Tc
_symmetry_space_group_name_H-M 'P m m m'
_symmetry_Int_Tables_number 47
_cell_length_a 2.812
_cell_length_b 3.684
_cell_length_c 4.949
_cell_angle_alpha 90.00
_cell_angle_beta 90.00
_cell_angle_gamma 90.00
loop_
_symmetry_equiv_pos_as_xyz
'x,y,z'
'-x,-y,-z'
'-x,-y,z'
'x,y,-z'
'x,-y,-z'
'-x,y,z'
'-x,y,-z'
'x,-y,z'
loop_
_atom_site_label
_atom_site_fract_x
_atom_site_fract_y
_atom_site_fract_z
_atom_site_occupancy
Co1 0.000 0.000 0.000 1
Si1 0.000 0.500 0.255 1
Tc1 0.500 0.000 0.500 1
```



# 2
This record from Alexandria describes an optimized crystal structure of CoSi2Tc. The functional is GGA-PBE.

Computed properties:
energy relative to the elements, uncorrected: -1.2 eV/f.u.
uncorrected energy: -29.55 eV per formula unit
total magnetic moment: 0.00 μB/f.u.
N(E_F): 3.8 states/eV/f.u.

Geometry as CIF:
```
data_CoSi2Tc
_symmetry_space_group_name_H-M 'P m m 2'
_symmetry_Int_Tables_number 25
_cell_length_a 2.795
_cell_length_b 4.369
_cell_length_c 4.097
_cell_angle_alpha 90.00
_cell_angle_beta 90.00
_cell_angle_gamma 90.00
loop_
_symmetry_equiv_pos_as_xyz
'x,y,z'
'-x,-y,z'
'-x,y,z'
'x,-y,z'
loop_
_atom_site_label
_atom_site_fract_x
_atom_site_fract_y
_atom_site_fract_z
_atom_site_occupancy
Co1 0.000 0.000 0.000 1
Si1 0.000 0.500 0.717 1
Si2 0.500 0.000 0.521 1
Tc1 0.500 0.500 0.215 1
```



# 3
This record from Alexandria describes an optimized crystal structure of CoSiTc3. The functional is GGA-PBE.

Computed properties:
energy relative to the elements, uncorrected: 6.9 eV/f.u.
uncorrected energy: -36.74 eV per formula unit
relative energy among the computed polymorphs: 186 meV/atom
total magnetic moment: 1.49 μB/f.u.
N(E_F): 7.0 states/eV/f.u.

Geometry as CIF:
```
data_CoSiTc3
_symmetry_space_group_name_H-M 'P m -3 m'
_symmetry_Int_Tables_number 221
_symmetry_space_group_name_Hall '-P 4 2 3'
_cell_length_a 4.379
_cell_length_b 4.379
_cell_length_c 4.379
_cell_angle_alpha 90.00
_cell_angle_beta 90.00
_cell_angle_gamma 90.00
loop_
_atom_site_label
_atom_site_fract_x
_atom_site_fract_y
_atom_site_fract_z
_atom_site_occupancy
Co1 0.000 0.000 0.000 1
Si1 0.500 0.500 0.500 1
Tc1 0.000 0.000 0.500 1
```



# 4
This record from Alexandria describes an optimized crystal structure of Co4SiTc. The functional is GGA-PBE.

Computed properties:
energy relative to the elements, uncorrected: 0.9 eV/f.u.
uncorrected energy: -43.34 eV per formula unit
total magnetic moment: 6.86 μB/f.u.
N(E_F): 8.5 states/eV/f.u.

Geometry as CIF:
```
data_Co4SiTc
_symmetry_space_group_name_H-M 'F -4 3 m'
_symmetry_Int_Tables_number 216
_symmetry_space_group_name_Hall 'F -4 2 3'
_cell_length_a 6.580
_cell_length_b 6.580
_cell_length_c 6.580
_cell_angle_alpha 90.00
_cell_angle_beta 90.00
_cell_angle_gamma 90.00
loop_
_atom_site_label
_atom_site_fract_x
_atom_site_fract_y
_atom_site_fract_z
_atom_site_occupancy
Co1 0.124 0.124 0.376 1
Si1 0.250 0.250 0.750 1
Tc1 0.000 0.000 0.000 1
```



# 5
This record from Alexandria describes an optimized crystal structure of Co2SiTc2. The functional is GGA-PBE.

Computed properties:
energy relative to the elements, uncorrected: -0.3 eV/f.u.
uncorrected energy: -40.69 eV per formula unit
total magnetic moment: 0.00 μB/f.u.
N(E_F): 1.5 states/eV/f.u.

Geometry as CIF:
```
data_Co2SiTc2
_symmetry_space_group_name_H-M 'P 4/m b m'
_symmetry_Int_Tables_number 127
_symmetry_space_group_name_Hall '-P 4 2ab'
_cell_length_a 5.658
_cell_length_b 5.658
_cell_length_c 3.953
_cell_angle_alpha 90.00
_cell_angle_beta 90.00
_cell_angle_gamma 90.00
loop_
_atom_site_label
_atom_site_fract_x
_atom_site_fract_y
_atom_site_fract_z
_atom_site_occupancy
Co1 0.140 0.360 0.000 1
Si1 0.000 0.000 0.000 1
Tc1 0.162 0.662 0.500 1
```



# 6
This record from Alexandria describes an optimized crystal structure of CoSi2Tc. The functional is GGA-PBE.

Computed properties:
energy relative to the elements, uncorrected: 0.0 eV/f.u.
uncorrected energy: -28.29 eV per formula unit
total magnetic moment: 0.00 μB/f.u.
N(E_F): 3.2 states/eV/f.u.

Geometry as CIF:
```
data_CoSi2Tc
_symmetry_space_group_name_H-M 'P 4 m m'
_symmetry_Int_Tables_number 99
_cell_length_a 2.640
_cell_length_b 2.640
_cell_length_c 7.371
_cell_angle_alpha 90.00
_cell_angle_beta 90.00
_cell_angle_gamma 90.00
loop_
_symmetry_equiv_pos_as_xyz
'x,y,z'
'-y,x,z'
'-x,-y,z'
'y,-x,z'
'-x,y,z'
'y,x,z'
'x,-y,z'
'-y,-x,z'
loop_
_atom_site_label
_atom_site_fract_x
_atom_site_fract_y
_atom_site_fract_z
_atom_site_occupancy
Co1 0.000 0.000 0.000 1
Si1 0.000 0.000 0.499 1
Si2 0.500 0.500 0.205 1
Tc1 0.500 0.500 0.753 1
```



# 7
This record from Alexandria describes an optimized crystal structure of CoSi2Tc. The functional is GGA-PBE.

Computed properties:
energy relative to the elements, uncorrected: -1.1 eV/f.u.
uncorrected energy: -29.43 eV per formula unit
total magnetic moment: 0.17 μB/f.u.
N(E_F): 2.3 states/eV/f.u.

Geometry as CIF:
```
data_CoSi2Tc
_symmetry_space_group_name_H-M 'R -3 m'
_symmetry_Int_Tables_number 166
_symmetry_space_group_name_Hall '-R 3 2"'
_cell_length_a 2.7630
_cell_length_b 2.7630
_cell_length_c 22.7317
_cell_angle_alpha 90.00
_cell_angle_beta 90.00
_cell_angle_gamma 120.00
loop_
_atom_site_label
_atom_site_fract_x
_atom_site_fract_y
_atom_site_fract_z
_atom_site_occupancy
Co1 0.0000 0.0000 0.0000 1
Si1 0.0000 0.0000 0.2557 1
Tc1 0.0000 0.0000 0.5000 1
```



# 8
This record from Alexandria describes an optimized crystal structure of CoSi2Tc. The functional is GGA-PBE.

Computed properties:
energy relative to the elements, uncorrected: -0.6 eV/f.u.
uncorrected energy: -28.94 eV per formula unit
total magnetic moment: 0.00 μB/f.u.
N(E_F): 3.0 states/eV/f.u.

Geometry as CIF:
```
data_CoSi2Tc
_symmetry_space_group_name_H-M 'C m m m'
_symmetry_Int_Tables_number 65
_symmetry_space_group_name_Hall '-C 2 2'
_cell_length_a 2.987
_cell_length_b 4.638
_cell_length_c 7.366
_cell_angle_alpha 90.00
_cell_angle_beta 90.00
_cell_angle_gamma 90.00
loop_
_atom_site_label
_atom_site_fract_x
_atom_site_fract_y
_atom_site_fract_z
_atom_site_occupancy
Co1 0.000 0.000 0.000 1
Si1 0.000 0.500 0.234 1
Tc1 0.000 0.000 0.500 1
```



# 9
This record from Alexandria describes an optimized crystal structure of ThCoSi2Tc2. The functional is GGA-PBE.

Computed properties:
energy relative to the elements, uncorrected: -0.9 eV/f.u.
uncorrected energy: -47.01 eV per formula unit
total magnetic moment: 0.00 μB/f.u.
N(E_F): 5.6 states/eV/f.u.

Geometry as CIF:
```
data_ThCoSi2Tc2
_symmetry_space_group_name_H-M 'P 4/m m m'
_symmetry_Int_Tables_number 123
_symmetry_space_group_name_Hall '-P 4 2'
_cell_length_a 4.442
_cell_length_b 4.442
_cell_length_c 5.192
_cell_angle_alpha 90.00
_cell_angle_beta 90.00
_cell_angle_gamma 90.00
loop_
_atom_site_label
_atom_site_fract_x
_atom_site_fract_y
_atom_site_fract_z
_atom_site_occupancy
Th1 0.000 0.000 0.000 1
Co1 0.000 0.000 0.500 1
Si1 0.000 0.500 0.500 1
Tc1 0.500 0.500 0.237 1
```



# 10
This record from Alexandria describes an optimized crystal structure of ThCoSi2Tc. The functional is GGA-PBE.

Computed properties:
energy relative to the elements, uncorrected: -3.7 eV/f.u.
uncorrected energy: -39.45 eV per formula unit
total magnetic moment: 0.00 μB/f.u.
N(E_F): 4.0 states/eV/f.u.

Geometry as CIF:
```
data_ThCoSi2Tc
_symmetry_space_group_name_H-M 'I -4 m 2'
_symmetry_Int_Tables_number 119
_symmetry_space_group_name_Hall 'I -4 -2'
_cell_length_a 4.147
_cell_length_b 4.147
_cell_length_c 9.799
_cell_angle_alpha 90.00
_cell_angle_beta 90.00
_cell_angle_gamma 90.00
loop_
_atom_site_label
_atom_site_fract_x
_atom_site_fract_y
_atom_site_fract_z
_atom_site_occupancy
Th1 0.000 0.000 0.000 1
Co1 0.000 0.500 0.750 1
Si1 0.000 0.000 0.368 1
Tc1 0.000 0.500 0.250 1
```



# 11
This record from Alexandria describes an optimized crystal structure of TiCoSiTc. The functional is GGA-PBE.

Computed properties:
energy relative to the elements, uncorrected: -2.6 eV/f.u.
uncorrected energy: -33.40 eV per formula unit
total magnetic moment: 0.00 μB/f.u.
N(E_F): 0.4 states/eV/f.u.

Geometry as CIF:
```
data_TiCoSiTc
_symmetry_space_group_name_H-M 'F -4 3 m'
_symmetry_Int_Tables_number 216
_symmetry_space_group_name_Hall 'F -4 2 3'
_cell_length_a 5.899
_cell_length_b 5.899
_cell_length_c 5.899
_cell_angle_alpha 90.00
_cell_angle_beta 90.00
_cell_angle_gamma 90.00
loop_
_atom_site_label
_atom_site_fract_x
_atom_site_fract_y
_atom_site_fract_z
_atom_site_occupancy
Ti1 0.000 0.000 0.000 1
Co1 0.250 0.250 0.750 1
Si1 0.000 0.000 0.500 1
Tc1 0.250 0.250 0.250 1
```



# 12
This record from Alexandria describes an optimized crystal structure of U2Co3Si4Tc. The functional is GGA-PBE.

Computed properties:
energy relative to the elements, uncorrected: -5.5 eV/f.u.
uncorrected energy: -81.50 eV per formula unit
total magnetic moment: 0.63 μB/f.u.
N(E_F): 9.3 states/eV/f.u.

Geometry as CIF:
```
data_U2Co3Si4Tc
_symmetry_space_group_name_H-M 'P -4 m 2'
_symmetry_Int_Tables_number 115
_cell_length_a 4.001
_cell_length_b 4.001
_cell_length_c 9.285
_cell_angle_alpha 90.00
_cell_angle_beta 90.00
_cell_angle_gamma 90.00
loop_
_symmetry_equiv_pos_as_xyz
'x,y,z'
'y,-x,-z'
'-x,-y,z'
'-y,x,-z'
'-x,y,z'
'-y,-x,-z'
'x,-y,z'
'y,x,-z'
loop_
_atom_site_label
_atom_site_fract_x
_atom_site_fract_y
_atom_site_fract_z
_atom_site_occupancy
U1 0.000 0.500 0.248 1
Co1 0.000 0.000 0.000 1
Co2 0.000 0.500 0.623 1
Si1 0.000 0.000 0.500 1
Si2 0.000 0.500 0.862 1
Si3 0.500 0.500 0.500 1
Tc1 0.500 0.500 0.000 1
```



The highest total magnetic moment belongs to which entry?
Co4SiTc